a) DFT (PBE) results for a relaxed structure of KCoCu2.

Cell lengths 4.4034, 4.4034, 6.7940 Å; angles 94.76, 94.76, 35.51 degrees
Element x y z (fractional)
K 0.0000 0.0000 0.0000
Co 0.2293 0.2293 0.6396
Cu 0.4964 0.4964 0.5135
Cu 0.7669 0.7669 0.3508

density of states at the Fermi level: 3.9 states/eV/cell
SG: Cm, No. 8

***

b) DFT (PBE) results for a relaxed structure of KCoCu2.

Cell lengths 3.0428, 3.0428, 7.6168 Å; angles 90.00, 90.00, 90.00 degrees
Element x y z (fractional)
K 0.0000 0.0000 0.0000
Co 0.0000 0.0000 0.5000
Cu 0.5000 0.5000 0.3361
Cu 0.5000 0.5000 0.6639

density of states at the Fermi level: 4.0 states/eV/cell
SG: P4/mmm, No. 123

***

It is b) that is the most stable of them.